Entry 1:
The following is a PBE calculation of a relaxed HgSe crystal, from the Alexandria database.

a b c (Å): 2.8236 2.8236 6.6206
angles (deg): 90.00 90.00 90.00
Fractional positions:
Hg1 0.0000 0.0000 0.0000
Se1 0.5000 0.5000 0.5000

Summary:
The value obtained for the volume is 26.39 A^3/atom. The calculated density is 8794 kg/m3. The raw total energy is -1.734 eV/atom. The space group is No. 123. As for the formation energy (no corrections): 0.16 eV per atom. As for the total moment: 0.000 μB/f.u.

***

Entry 2:
The following is a PBE calculation of a relaxed KBa2Cd2 crystal, from the Alexandria database.

a b c (Å): 9.7958 9.7958 4.6266
angles (deg): 90.00 90.00 90.00
Fractional positions:
K1 0.0000 0.0000 0.0000
K2 0.5000 0.5000 0.0000
Ba1 0.1570 0.3430 0.5000
Ba2 0.3430 0.8430 0.5000
Ba3 0.6570 0.1570 0.5000
Ba4 0.8430 0.6570 0.5000
Cd1 0.1304 0.6304 0.0000
Cd2 0.3696 0.1304 0.0000
Cd3 0.6304 0.8696 0.0000
Cd4 0.8696 0.3696 0.0000

Summary:
The value obtained for the volume is 44.40 A^3/atom. The energy of formation comes out at -0.182 eV per atom. The calculated density is 4029 kg/m3. The raw total energy is -1.537 eV/atom. The space group is No. 127. As for the energy above the most stable polymorph in this dataset: 0.000 eV per atom. As for the total moment: 0.000 μB/f.u.

***

Entry 3:
The following is a PBE calculation of a relaxed RbTaGe2S8 crystal, from the Alexandria database.

a b c (Å): 6.2072 6.2072 8.8818
angles (deg): 90.00 90.00 120.00
Fractional positions:
Rb1 0.0000 0.0000 0.0000
Ta1 0.0000 0.0000 0.5000
Ge1 0.3333 0.6667 0.7239
Ge2 0.6667 0.3333 0.2761
S1 0.0177 0.6828 0.3451
S2 0.3172 0.3350 0.3451
S3 0.3333 0.6667 0.9730
S4 0.3350 0.0177 0.6549
S5 0.6650 0.9823 0.3451
S6 0.6667 0.3333 0.0270
S7 0.6828 0.6650 0.6549
S8 0.9823 0.3172 0.6549

Summary:
The value obtained for the volume is 24.70 A^3/atom. The calculated density is 3744 kg/m3. The raw total energy is -4.983 eV/atom. The space group is No. 147. As for the formation energy (no corrections): -0.39 eV per atom. As for the total moment: 1.908 μB/f.u.

***

Entry 4:
The following is a PBE calculation of a relaxed RbAcPt4 crystal, from the Alexandria database.

a b c (Å): 5.6370 5.6370 5.6370
angles (deg): 60.00 60.00 60.00
Fractional positions:
Rb1 0.0000 0.0000 0.0000
Ac1 0.2500 0.2500 0.2500
Pt1 0.1247 0.6251 0.6251
Pt2 0.6251 0.1247 0.6251
Pt3 0.6251 0.6251 0.1247
Pt4 0.6251 0.6251 0.6251

Summary:
The value obtained for the volume is 21.11 A^3/atom. The energy of formation comes out at -0.629 eV per atom. The calculated density is 14327 kg/m3. The raw total energy is -5.502 eV/atom. The space group is No. 216. As for the total moment: 0.000 μB/f.u.

***

- What is the formula in the third record?
  RbTaGe2S8